Entry 1:
Computed, not measured: a relaxed structure of LiPuGa at the PBE level of DFT.

a = 3.0706 Å, b = 3.0706 Å, c = 25.1303 Å
α = 90.00°, β = 90.00°, γ = 90.00°
Last column: nearest neighbours and their distance in Å.
Space group I4/mmm (No. 139)
One atom of each set of equivalent atoms:
Li (0.0000, 0.0000, 0.2151) x4  4 Ga 2.69, 4 Li 2.79
Pu (0.0000, 0.0000, 0.0638) x4  5 Pu 3.07-3.21, 4 Ga 3.10
Ga (0.0000, 0.0000, 0.3481) x4  4 Li 2.69

Computed properties:
The calculation puts the density of states at the Fermi level at 1.839 states/eV/atom. Its total magnetic moment is 1.93 μB/atom. The value obtained for the energy relative to the elements is -0.10 eV/atom. As for the distance to the lowest polymorph of the same formula: 9.06 kJ/mol of atoms.

---

Entry 2:
Computed, not measured: a relaxed structure of NaAlSn at the PBE level of DFT.

a = 4.6338 Å, b = 4.6338 Å, c = 26.2947 Å
α = 90.00°, β = 90.00°, γ = 120.00°
Last column: nearest neighbours and their distance in Å.
Space group R-3m (No. 166, hexagonal axes)
One atom of each set of equivalent atoms:
Na (0.0000, 0.0000, 0.1291) x6  3 Sn 3.08, 3 Na 3.33
Al (0.0000, 0.0000, 0.3715) x6  4 Sn 2.81-2.87
Sn (0.0000, 0.0000, 0.2624) x6  4 Al 2.81-2.87, 3 Na 3.08

Computed properties:
The calculation puts the density of states at the Fermi level at 0.208 states/eV/atom. Its total magnetic moment is 0.00 μB/atom. The value obtained for the energy relative to the elements is -0.03 eV/atom.